A relaxed structure of ReOs3Cl, computed with PBE.

Structure (extended XYZ):
```
5
Lattice="4.3065 0.0000 0.0000 0.0000 4.3065 0.0000 0.0000 0.0000 4.3065" Properties=species:S:1:pos:R:3 pbc="T T T"
Re 2.1533 2.1533 2.1533
Os 0.0000 2.1533 0.0000
Os 0.0000 0.0000 2.1533
Os 2.1533 0.0000 0.0000
Cl 0.0000 0.0000 0.0000
```

Results
DOS at the Fermi energy, states/eV/cell: 6.2
Energy above the most stable polymorph in this dataset, meV/atom: 0
Energy relative to the elements, uncorrected, kJ per mole of atoms: 206.6

***

A relaxed structure of La3Tb2NdY6, computed with PBE.

Structure (extended XYZ):
```
12
Lattice="6.2861 -0.0011 0.0031 -3.1425 5.4443 0.0031 -1.0518 -1.8212 11.7291" Properties=species:S:1:pos:R:3 pbc="T T T"
La -2.0963 3.6258 5.8676
La 4.1881 -0.0037 5.8676
La 1.0459 1.8110 5.8676
Tb -0.0005 3.6296 0.0031
Tb 3.1441 1.8135 0.0031
Nd 0.0000 0.0000 0.0000
Y 3.1423 1.8071 8.8463
Y 2.0927 3.6234 2.8923
Y -1.0504 1.8149 2.8889
Y -0.0051 3.6248 8.8463
Y -0.0008 -0.0014 8.8429
Y 2.0970 -0.0028 2.8889
```

Results
DOS at the Fermi energy, states/eV/cell: 15.9
Calculated formation energy, eV per atom: 0.015

***

Please write out number 1 again, unchanged.
A relaxed structure of ReOs3Cl, computed with PBE.

Structure (extended XYZ):
```
5
Lattice="4.3065 0.0000 0.0000 0.0000 4.3065 0.0000 0.0000 0.0000 4.3065" Properties=species:S:1:pos:R:3 pbc="T T T"
Re 2.1533 2.1533 2.1533
Os 0.0000 2.1533 0.0000
Os 0.0000 0.0000 2.1533
Os 2.1533 0.0000 0.0000
Cl 0.0000 0.0000 0.0000
```

Results
DOS at the Fermi energy, states/eV/cell: 6.2
Energy above the most stable polymorph in this dataset, meV/atom: 0
Energy relative to the elements, uncorrected, kJ per mole of atoms: 206.6